[1]
Here is a geometry-optimized TeMo2Ir structure from Alexandria. Energies are from PBEsol.

density	13.27	g/cm³
ΔE_f (raw)	1.4	eV per formula unit

abc: 3.953 3.953 8.197
angles: 90.00 90.00 90.00
Space group I4/mmm (No. 139)
One atom of each set of equivalent atoms:
Te (0.000, 0.000, 0.000)
Mo (0.000, 0.500, 0.250)
Ir (0.000, 0.000, 0.500)

***

[2]
Here is a geometry-optimized TeMoIr3 structure from Alexandria. Energies are from PBEsol.

density	12.42	g/cm³
ΔE_f (raw)	11.0	eV per formula unit

abc: 4.747 4.747 4.747
angles: 90.00 90.00 90.00
Space group Pm-3m (No. 221)
One atom of each set of equivalent atoms:
Te (0.000, 0.000, 0.000)
Mo (0.500, 0.500, 0.500)
Ir (0.000, 0.000, 0.500)

***

[3]
Here is a geometry-optimized TeMo2Ir structure from Alexandria. Energies are from PBEsol.

density	13.18	g/cm³
ΔE_f (raw)	1.1	eV per formula unit

abc: 6.365 6.365 6.365
angles: 90.00 90.00 90.00
Space group Fm-3m (No. 225)
One atom of each set of equivalent atoms:
Te (0.000, 0.000, 0.000)
Mo (0.250, 0.250, 0.250)
Ir (0.000, 0.000, 0.500)

***

[4]
Here is a geometry-optimized TeMo2Ir structure from Alexandria. Energies are from PBEsol.

density	12.72	g/cm³
ΔE_f (raw)	1.2	eV per formula unit

abc: 9.343 3.079 4.682
angles: 90.00 97.38 90.00
Space group C2/m (No. 12)
One atom of each set of equivalent atoms:
Te (0.000, 0.000, 0.000)
Mo (0.237, 0.000, 0.713)
Ir (0.000, 0.500, 0.500)

***

[5]
Here is a geometry-optimized TeMoIr2 structure from Alexandria. Energies are from PBEsol.

density	15.90	g/cm³
ΔE_f (raw)	1.5	eV per formula unit

abc: 3.966 3.966 4.037
angles: 90.00 90.00 90.00
Space group P4/mmm (No. 123)
One atom of each set of equivalent atoms:
Te (0.000, 0.000, 0.000)
Mo (0.500, 0.500, 0.000)
Ir (0.000, 0.500, 0.500)

***

[6]
Here is a geometry-optimized TlMo2Ir structure from Alexandria. Energies are from PBEsol.

density	14.98	g/cm³
formation energy from the elements	0.2833	eV/atom

abc: 2.805 2.805 8.291
angles: 90.00 90.00 90.00
Space group P4/mmm (No. 123)
One atom of each set of equivalent atoms:
Tl (0.000, 0.000, 0.000)
Mo (0.500, 0.500, 0.273)
Ir (0.000, 0.000, 0.500)

***

> The lowest density belongs to which entry?

TeMoIr3